# YLuGaCo, optimized geometry, DFT PBE
data_YLuGaCo
_chemical_formula_sum 'Y4 Lu4 Ga4 Co4'
_cell_length_a 6.709
_cell_length_b 6.709
_cell_length_c 6.709
_cell_angle_alpha 90.00
_cell_angle_beta 90.00
_cell_angle_gamma 90.00
_space_group_name_H-M_alt 'F -4 3 m'
_space_group_IT_number 216
_space_group_name_Hall 'F -4 2 3'
loop_
_atom_site_label
_atom_site_fract_x
_atom_site_fract_y
_atom_site_fract_z
_atom_site_occupancy
Y1 0.000 0.000 0.000 1
Lu1 0.250 0.250 0.750 1
Ga1 0.250 0.250 0.250 1
Co1 0.000 0.000 0.500 1
# **Crystal system**: cubic
# **Size of the total moment**: 0.0 μB per formula unit
# **Calculated total energy**: -5.383 eV per atom

***

# UReMo, optimized geometry, DFT PBE
data_UReMo
_chemical_formula_sum 'U4 Re4 Mo4'
_cell_length_a 6.205
_cell_length_b 6.205
_cell_length_c 6.205
_cell_angle_alpha 90.00
_cell_angle_beta 90.00
_cell_angle_gamma 90.00
_space_group_name_H-M_alt 'F -4 3 m'
_space_group_IT_number 216
_space_group_name_Hall 'F -4 2 3'
loop_
_atom_site_label
_atom_site_fract_x
_atom_site_fract_y
_atom_site_fract_z
_atom_site_occupancy
U1 0.000 0.000 0.000 1
Re1 0.000 0.000 0.500 1
Mo1 0.250 0.250 0.750 1
# **Crystal system**: cubic
# **ΔH_f (0 K)**: 0.692 eV/atom
# **Size of the total moment**: 1.1 μB per formula unit
# **Calculated total energy**: -10.830 eV per atom

***

# Hf2Al2CuAu, optimized geometry, DFT PBE
data_Hf2Al2CuAu
_chemical_formula_sum 'Hf8 Al8 Cu4 Au4'
_cell_length_a 7.530
_cell_length_b 4.334
_cell_length_c 14.392
_cell_angle_alpha 90.00
_cell_angle_beta 99.84
_cell_angle_gamma 90.00
_space_group_name_H-M_alt 'P 1 m 1'
_space_group_IT_number 6
loop_
_space_group_symop_operation_xyz
'x,y,z'
'x,-y,z'
loop_
_atom_site_label
_atom_site_fract_x
_atom_site_fract_y
_atom_site_fract_z
_atom_site_occupancy
Hf1 0.000 0.000 0.000 1
Hf2 0.009 0.500 0.494 1
Hf3 0.235 0.000 0.737 1
Hf4 0.248 0.500 0.243 1
Hf5 0.483 0.000 0.485 1
Hf6 0.500 0.500 0.000 1
Hf7 0.744 0.000 0.237 1
Hf8 0.758 0.500 0.740 1
Al1 0.123 0.500 0.864 1
Al2 0.124 0.000 0.363 1
Al3 0.367 0.500 0.613 1
Al4 0.372 0.000 0.123 1
Al5 0.615 0.500 0.363 1
Al6 0.621 0.000 0.866 1
Al7 0.876 0.000 0.616 1
Al8 0.876 0.500 0.124 1
Cu1 0.061 0.000 0.183 1
Cu2 0.061 0.500 0.677 1
Cu3 0.308 0.500 0.427 1
Cu4 0.559 0.500 0.182 1
Au1 0.310 0.000 0.930 1
Au2 0.558 0.000 0.677 1
Au3 0.809 0.000 0.428 1
Au4 0.811 0.500 0.931 1
# **Crystal system**: monoclinic
# **Size of the total moment**: 0.0 μB per formula unit
# **Calculated total energy**: -6.100 eV per atom

***

# ZnPbSO, optimized geometry, DFT PBE
data_ZnPbSO
_chemical_formula_sum 'Zn4 Pb4 S4 O4'
_cell_length_a 5.927
_cell_length_b 3.854
_cell_length_c 13.908
_cell_angle_alpha 90.00
_cell_angle_beta 90.00
_cell_angle_gamma 90.00
_space_group_name_H-M_alt 'P n m a'
_space_group_IT_number 62
loop_
_space_group_symop_operation_xyz
'x,y,z'
'-x,-y,-z'
'-x+1/2,-y,z+1/2'
'x+1/2,y,-z+1/2'
'x+1/2,-y+1/2,-z+1/2'
'-x+1/2,y+1/2,z+1/2'
'-x,y+1/2,-z'
'x,-y+1/2,z'
loop_
_atom_site_label
_atom_site_fract_x
_atom_site_fract_y
_atom_site_fract_z
_atom_site_occupancy
Zn1 0.142 0.250 0.191 1
Pb1 0.238 0.750 0.415 1
S1 0.236 0.750 0.101 1
O1 0.200 0.750 0.815 1
# **Crystal system**: orthorhombic
# **Calculated total energy**: -4.458 eV per atom

***

> Which value of calculated total energy does entry 1 give?

-5.383 eV per atom

***

> Which formula does entry 4 have?

ZnPbSO

***

> What is the calculated total energy in the third record?

-6.100 eV per atom